Record 1
ZrTeHSe: relaxed, PBE-GGA.

abc: 3.5272 3.5272 7.9333
angles: 90.70 102.72 118.49
Sites, in units of the cell vectors:
Zr1 0.8234 0.2761 0.0995
Te1 0.3593 0.0460 0.4053
H1 0.5036 0.6191 0.1226
Se1 0.0058 0.8633 0.8691

As for the space-group type: Cm, No. 8. Its total DFT energy (no corrections) is -21.7 eV per formula unit.



Record 2
Th3H2Se2: relaxed, PBE-GGA.

abc: 3.8242 6.4170 7.3529
angles: 114.32 105.07 90.00
Sites, in units of the cell vectors:
Th1 0.0000 0.0000 0.0000
Th2 0.2360 0.7348 0.4720
Th3 0.7640 0.2652 0.5280
H1 0.1709 0.3159 0.3418
H2 0.8291 0.6841 0.6582
Se1 0.4114 0.2195 0.8228
Se2 0.5886 0.7805 0.1772

As for the space-group type: C2/m, No. 12. Its total DFT energy (no corrections) is -42.4 eV per formula unit.



Record 3
Th4HSe5: relaxed, PBE-GGA.

abc: 4.1057 8.4292 8.9259
angles: 103.91 103.30 90.00
Sites, in units of the cell vectors:
Th1 0.3472 0.9222 0.6944
Th2 0.0000 0.7542 0.0000
Th3 0.6528 0.0778 0.3056
Th4 0.0000 0.2458 0.0000
H1 0.5000 0.0000 0.0000
Se1 0.8304 0.6708 0.6609
Se2 0.8271 0.1682 0.6543
Se3 0.1729 0.8318 0.3457
Se4 0.5000 0.5000 0.0000
Se5 0.1696 0.3292 0.3391

As for the space-group type: C2/m, No. 12. Its total DFT energy (no corrections) is -62.7 eV per formula unit.



Record 4
ThHSe: relaxed, PBE-GGA.

abc: 4.1776 4.1776 6.2436
angles: 90.00 90.00 90.00
Sites, in units of the cell vectors:
Th1 0.5000 0.5000 0.8013
Th2 0.0000 0.0000 0.1987
H1 0.5000 0.0000 0.0000
H2 0.0000 0.5000 0.0000
Se1 0.5000 0.5000 0.3127
Se2 0.0000 0.0000 0.6873

As for the space-group type: P4/nmm, No. 129. Its total DFT energy (no corrections) is -17.8 eV per formula unit.